Material: Ca3Co5Te12
Method: DFT, GGA-PBE
State: optimized geometry

Output
The calculation puts the spin magnetization at 0.19 μB/atom. As for the energy relative to the elements, uncorrected: -343 meV per atom. The total energy comes out at -4.305 eV/atom.

Cell lengths 14.156, 14.156, 14.156 Å; angles 109.47, 109.47, 109.47 degrees
Element x y z (fractional)
1 Ca 0.125 0.250 0.375
2 Ca 0.125 0.375 0.750
3 Ca 0.250 0.375 0.125
4 Ca 0.250 0.875 0.625
5 Ca 0.375 0.125 0.250
6 Ca 0.375 0.750 0.125
7 Ca 0.625 0.250 0.875
8 Ca 0.625 0.875 0.750
9 Ca 0.750 0.125 0.375
10 Ca 0.750 0.625 0.875
11 Ca 0.875 0.625 0.250
12 Ca 0.875 0.750 0.625
13 Co 0.000 0.000 0.000
14 Co 0.000 0.000 0.500
15 Co 0.000 0.500 0.000
16 Co 0.000 0.500 0.500
17 Co 0.125 0.750 0.875
18 Co 0.125 0.875 0.250
19 Co 0.250 0.125 0.875
20 Co 0.250 0.625 0.375
21 Co 0.375 0.250 0.625
22 Co 0.375 0.625 0.750
23 Co 0.500 0.000 0.000
24 Co 0.500 0.000 0.500
25 Co 0.500 0.500 0.000
26 Co 0.500 0.500 0.500
27 Co 0.625 0.375 0.250
28 Co 0.625 0.750 0.375
29 Co 0.750 0.375 0.625
30 Co 0.750 0.875 0.125
31 Co 0.875 0.125 0.750
32 Co 0.875 0.250 0.125
33 Te 0.021 0.200 0.106
34 Te 0.021 0.320 0.914
35 Te 0.086 0.606 0.406
36 Te 0.086 0.979 0.680
37 Te 0.094 0.700 0.680
38 Te 0.094 0.894 0.414
39 Te 0.106 0.021 0.200
40 Te 0.106 0.586 0.906
41 Te 0.180 0.200 0.594
42 Te 0.180 0.479 0.586
43 Te 0.200 0.106 0.021
44 Te 0.200 0.594 0.180
45 Te 0.300 0.320 0.906
46 Te 0.300 0.479 0.394
47 Te 0.320 0.906 0.300
48 Te 0.320 0.914 0.021
49 Te 0.394 0.300 0.479
50 Te 0.394 0.594 0.914
51 Te 0.406 0.086 0.606
52 Te 0.406 0.820 0.800
53 Te 0.414 0.094 0.894
54 Te 0.414 0.820 0.521
55 Te 0.479 0.394 0.300
56 Te 0.479 0.586 0.180
57 Te 0.521 0.414 0.820
58 Te 0.521 0.606 0.700
59 Te 0.586 0.180 0.479
60 Te 0.586 0.906 0.106
61 Te 0.594 0.180 0.200
62 Te 0.594 0.914 0.394
63 Te 0.606 0.406 0.086
64 Te 0.606 0.700 0.521
65 Te 0.680 0.086 0.979
66 Te 0.680 0.094 0.700
67 Te 0.700 0.521 0.606
68 Te 0.700 0.680 0.094
69 Te 0.800 0.406 0.820
70 Te 0.800 0.894 0.979
71 Te 0.820 0.521 0.414
72 Te 0.820 0.800 0.406
73 Te 0.894 0.414 0.094
74 Te 0.894 0.979 0.800
75 Te 0.906 0.106 0.586
76 Te 0.906 0.300 0.320
77 Te 0.914 0.021 0.320
78 Te 0.914 0.394 0.594
79 Te 0.979 0.680 0.086
80 Te 0.979 0.800 0.894